Below is an optimized crystal structure of SmZn3, with properties calculated at the PBE level.

```
data_SmZn3
_cell_length_a 6.751
_cell_length_b 4.478
_cell_length_c 10.203
_cell_angle_alpha 90.00
_cell_angle_beta 90.00
_cell_angle_gamma 90.00
_space_group_name_H-M_alt 'P n m a'
_space_group_IT_number 62
_space_group_name_Hall '-P 2ac 2n'
loop_
_atom_site_label
_atom_site_type_symbol
_atom_site_fract_x
_atom_site_fract_y
_atom_site_fract_z
_atom_site_occupancy
Sm1 Sm 0.219 0.250 0.158 1
Zn1 Zn 0.034 0.750 0.393 1
Zn2 Zn 0.087 0.250 0.852 1
Zn3 Zn 0.222 0.750 0.955 1
```

size of the total moment: 0.0 μB/cell
V: 19.28 A^3/atom

---

Below is an optimized crystal structure of SmZn13, with properties calculated at the PBE level.

```
data_SmZn13
_cell_length_a 12.156
_cell_length_b 12.156
_cell_length_c 12.156
_cell_angle_alpha 90.00
_cell_angle_beta 90.00
_cell_angle_gamma 90.00
_space_group_name_H-M_alt 'F m -3 c'
_space_group_IT_number 226
_space_group_name_Hall '-F 4a 2 3'
loop_
_atom_site_label
_atom_site_type_symbol
_atom_site_fract_x
_atom_site_fract_y
_atom_site_fract_z
_atom_site_occupancy
Sm1 Sm 0.250 0.250 0.250 1
Zn1 Zn 0.000 0.000 0.000 1
Zn2 Zn 0.000 0.121 0.180 1
```

size of the total moment: 0.0 μB/cell
V: 16.04 A^3/atom

---

Below is an optimized crystal structure of Sm3Zn8, with properties calculated at the PBE level.

```
data_Sm3Zn8
_cell_length_a 3.797
_cell_length_b 4.410
_cell_length_c 26.742
_cell_angle_alpha 90.00
_cell_angle_beta 90.00
_cell_angle_gamma 90.00
_space_group_name_H-M_alt 'I m m m'
_space_group_IT_number 71
_space_group_name_Hall '-I 2 2'
loop_
_atom_site_label
_atom_site_type_symbol
_atom_site_fract_x
_atom_site_fract_y
_atom_site_fract_z
_atom_site_occupancy
Sm1 Sm 0.000 0.000 0.000 1
Sm2 Sm 0.000 0.500 0.147 1
Zn1 Zn 0.000 0.000 0.255 1
Zn2 Zn 0.000 0.000 0.452 1
Zn3 Zn 0.000 0.500 0.310 1
Zn4 Zn 0.000 0.500 0.404 1
```

size of the total moment: 0.0 μB/cell
V: 20.36 A^3/atom

---

Below is an optimized crystal structure of Sm2Zn17, with properties calculated at the PBE level.

```
data_Sm2Zn17
_cell_length_a 9.0162
_cell_length_b 9.0162
_cell_length_c 13.2163
_cell_angle_alpha 90.00
_cell_angle_beta 90.00
_cell_angle_gamma 120.00
_space_group_name_H-M_alt 'R -3 m'
_space_group_IT_number 166
_space_group_name_Hall '-R 3 2"'
loop_
_atom_site_label
_atom_site_type_symbol
_atom_site_fract_x
_atom_site_fract_y
_atom_site_fract_z
_atom_site_occupancy
Sm1 Sm 0.0000 0.0000 0.1648 1
Zn1 Zn 0.0000 0.0000 0.4009 1
Zn2 Zn 0.0000 0.2948 0.5000 1
Zn3 Zn 0.0000 0.5000 0.0000 1
Zn4 Zn 0.0091 0.5046 0.6530 1
```

size of the total moment: 0.0 μB/cell
V: 16.32 A^3/atom

---

What ΔH_f (0 K) values result from the calculations? In sequence: -0.3464; -0.1525; -0.3254; -0.2512 eV/atom.